DFT (PBE) results for a geometry-optimized Dy4As2PS structure.

```
Dy4As2PS
1.0
-0.200 -2.405 3.244
3.915 -4.766 -3.291
6.760 1.226 1.326
Dy P As S
4 1 2 1
Direct
0.500 0.745 0.255
0.000 0.253 0.253
0.500 0.255 0.745
0.000 0.747 0.747
0.000 0.500 0.500
0.000 0.000 0.000
0.500 0.000 0.500
0.500 0.500 0.000
```

Properties
- Symmetry: P2/m (10)
- Uncorrected energy: -6.369 eV/atom